! PBE SrReP2, optimized geometry; values from VASP
! Space group = Pmmm (47)
! Energy above the most stable polymorph in this dataset = 269 meV/atom
! ΔH_f (0 K) = -0.15 eV/atom
&SYSTEM
  ibrav = 0, nat = 4, ntyp = 3
/
ATOMIC_SPECIES
Sr 87.62 Sr.upf
Re 186.21 Re.upf
P 30.97 P.upf
CELL_PARAMETERS angstrom
3.4902 0.0000 0.0000
0.0000 4.0960 0.0000
0.0000 0.0000 5.7215
ATOMIC_POSITIONS crystal
Sr 0.0000 0.0000 0.0000
Re 0.5000 0.0000 0.5000
P 0.5000 0.5000 0.2925
P 0.5000 0.5000 0.7075

=====

! PBE SrReP2, optimized geometry; values from VASP
! Space group = P4/mmm (123)
! Energy above the most stable polymorph in this dataset = 179 meV/atom
! ΔH_f (0 K) = -0.24 eV/atom
&SYSTEM
  ibrav = 0, nat = 4, ntyp = 3
/
ATOMIC_SPECIES
Sr 87.62 Sr.upf
Re 186.21 Re.upf
P 30.97 P.upf
CELL_PARAMETERS angstrom
3.1298 0.0000 0.0000
0.0000 3.1298 0.0000
0.0000 0.0000 7.1299
ATOMIC_POSITIONS crystal
Sr 0.0000 0.0000 0.0000
Re 0.0000 0.0000 0.5000
P 0.5000 0.5000 0.3093
P 0.5000 0.5000 0.6907

=====

! PBE SrReP, optimized geometry; values from VASP
! Space group = F-43m (216)
! Energy above the most stable polymorph in this dataset = 2062 meV/atom
! ΔH_f (0 K) = 1.82 eV/atom
&SYSTEM
  ibrav = 0, nat = 12, ntyp = 3
/
ATOMIC_SPECIES
Sr 87.62 Sr.upf
Re 186.21 Re.upf
P 30.97 P.upf
CELL_PARAMETERS angstrom
6.9872 0.0000 0.0000
0.0000 6.9872 0.0000
0.0000 0.0000 6.9872
ATOMIC_POSITIONS crystal
Sr 0.0000 0.0000 0.0000
Sr 0.0000 0.5000 0.5000
Sr 0.5000 0.0000 0.5000
Sr 0.5000 0.5000 0.0000
Re 0.2500 0.2500 0.2500
Re 0.2500 0.7500 0.7500
Re 0.7500 0.2500 0.7500
Re 0.7500 0.7500 0.2500
P 0.2500 0.2500 0.7500
P 0.2500 0.7500 0.2500
P 0.7500 0.2500 0.2500
P 0.7500 0.7500 0.7500

=====

! PBE SrReP2, optimized geometry; values from VASP
! Space group = Amm2 (38)
! Energy above the most stable polymorph in this dataset = 92 meV/atom
! ΔH_f (0 K) = -0.33 eV/atom
&SYSTEM
  ibrav = 0, nat = 8, ntyp = 3
/
ATOMIC_SPECIES
Sr 87.62 Sr.upf
Re 186.21 Re.upf
P 30.97 P.upf
CELL_PARAMETERS angstrom
4.3970 0.0000 0.0000
0.0000 3.8256 0.0000
0.0000 0.0000 11.3808
ATOMIC_POSITIONS crystal
Sr 0.0000 0.0000 0.0000
Sr 0.0000 0.5000 0.5000
Re 0.5000 0.0000 0.2339
Re 0.5000 0.5000 0.7339
P 0.0000 0.0000 0.2868
P 0.0000 0.5000 0.7868
P 0.5000 0.0000 0.6197
P 0.5000 0.5000 0.1197